# 1
Ba2DyRe3O12: optimized geometry, GGA-PBE.

Lattice parameters (Å, degrees): 7.0776 7.0776 7.0776 63.34 63.34 63.34
Atoms (fractional coordinates):
Ba1 0.1236 0.1236 0.1236
Ba2 0.8764 0.8764 0.8764
Dy1 0.5000 0.5000 0.5000
Re1 0.0000 0.5000 0.5000
Re2 0.5000 0.0000 0.5000
Re3 0.5000 0.5000 0.0000
O1 0.1099 0.6144 0.6144
O2 0.2095 0.2095 0.5889
O3 0.2095 0.5889 0.2095
O4 0.3856 0.3856 0.8901
O5 0.3856 0.8901 0.3856
O6 0.4111 0.7905 0.7905
O7 0.5889 0.2095 0.2095
O8 0.6144 0.1099 0.6144
O9 0.6144 0.6144 0.1099
O10 0.7905 0.4111 0.7905
O11 0.7905 0.7905 0.4111
O12 0.8901 0.3856 0.3856

Summary:
raw formation energy = -37.9 eV per formula unit
uncorrected energy = -7.957 eV/atom



# 2
BaDy2RhO5: optimized geometry, GGA-PBE.

Lattice parameters (Å, degrees): 6.8215 6.8215 6.8215 146.67 129.75 61.64
Atoms (fractional coordinates):
Ba1 0.0000 0.0000 0.0000
Dy1 0.2963 0.7963 0.5000
Dy2 0.7037 0.2037 0.5000
Rh1 0.5000 0.5000 0.0000
O1 0.1036 0.3440 0.7596
O2 0.4156 0.6560 0.7596
O3 0.5000 0.0000 0.5000
O4 0.5844 0.3440 0.2404
O5 0.8964 0.6560 0.2404

Summary:
raw formation energy = -22.6 eV per formula unit
uncorrected energy = -7.322 eV/atom



# 3
Ba2DyRh3O12: optimized geometry, GGA-PBE.

Lattice parameters (Å, degrees): 6.9517 6.9517 6.9517 63.54 63.54 63.54
Atoms (fractional coordinates):
Ba1 0.1126 0.1126 0.1126
Ba2 0.8874 0.8874 0.8874
Dy1 0.5000 0.5000 0.5000
Rh1 0.0000 0.5000 0.5000
Rh2 0.5000 0.0000 0.5000
Rh3 0.5000 0.5000 0.0000
O1 0.1077 0.6207 0.6207
O2 0.2002 0.2002 0.6166
O3 0.2002 0.6166 0.2002
O4 0.3793 0.3793 0.8923
O5 0.3793 0.8923 0.3793
O6 0.3834 0.7998 0.7998
O7 0.6166 0.2002 0.2002
O8 0.6207 0.1077 0.6207
O9 0.6207 0.6207 0.1077
O10 0.7998 0.3834 0.7998
O11 0.7998 0.7998 0.3834
O12 0.8923 0.3793 0.3793

Summary:
raw formation energy = -24.5 eV per formula unit
uncorrected energy = -6.362 eV/atom



# 4
BaDyRhO6: optimized geometry, GGA-PBE.

Lattice parameters (Å, degrees): 5.6052 5.6052 5.6641 90.00 90.00 120.00
Atoms (fractional coordinates):
Ba1 0.0000 0.0000 0.0000
Dy1 0.6667 0.3333 0.5000
Rh1 0.3333 0.6667 0.5000
O1 0.0405 0.3934 0.3030
O2 0.0405 0.6471 0.6970
O3 0.3529 0.3934 0.6970
O4 0.3529 0.9595 0.3030
O5 0.6066 0.6471 0.3030
O6 0.6066 0.9595 0.6970

Summary:
raw formation energy = -15.2 eV per formula unit
uncorrected energy = -6.540 eV/atom



# 5
Ba2DyRu3O12: optimized geometry, GGA-PBE.

Lattice parameters (Å, degrees): 7.0309 7.0309 7.0309 62.81 62.81 62.81
Atoms (fractional coordinates):
Ba1 0.1209 0.1209 0.1209
Ba2 0.8791 0.8791 0.8791
Dy1 0.5000 0.5000 0.5000
Ru1 0.0000 0.5000 0.5000
Ru2 0.5000 0.0000 0.5000
Ru3 0.5000 0.5000 0.0000
O1 0.1084 0.6174 0.6174
O2 0.2082 0.2082 0.5942
O3 0.2082 0.5942 0.2082
O4 0.3826 0.3826 0.8916
O5 0.3826 0.8916 0.3826
O6 0.4058 0.7918 0.7918
O7 0.5942 0.2082 0.2082
O8 0.6174 0.1084 0.6174
O9 0.6174 0.6174 0.1084
O10 0.7918 0.4058 0.7918
O11 0.7918 0.7918 0.4058
O12 0.8916 0.3826 0.3826

Summary:
raw formation energy = -29.2 eV per formula unit
uncorrected energy = -6.941 eV/atom



# 6
Ba4DyRu3O12: optimized geometry, GGA-PBE.

Lattice parameters (Å, degrees): 7.1928 7.1928 7.1928 109.47 109.47 109.47
Atoms (fractional coordinates):
Ba1 0.0000 0.0000 0.5000
Ba2 0.0000 0.5000 0.0000
Ba3 0.5000 0.0000 0.0000
Ba4 0.5000 0.5000 0.5000
Dy1 0.0000 0.0000 0.0000
Ru1 0.0000 0.5000 0.5000
Ru2 0.5000 0.0000 0.5000
Ru3 0.5000 0.5000 0.0000
O1 0.0000 0.2645 0.2645
O2 0.0000 0.7355 0.7355
O3 0.2500 0.5000 0.7500
O4 0.2500 0.7500 0.5000
O5 0.2645 0.0000 0.2645
O6 0.2645 0.2645 0.0000
O7 0.5000 0.2500 0.7500
O8 0.5000 0.7500 0.2500
O9 0.7355 0.0000 0.7355
O10 0.7355 0.7355 0.0000
O11 0.7500 0.2500 0.5000
O12 0.7500 0.5000 0.2500

Summary:
raw formation energy = -40.8 eV per formula unit
uncorrected energy = -7.022 eV/atom



# 7
BaDyS2O8: optimized geometry, GGA-PBE.

Lattice parameters (Å, degrees): 5.2225 5.2225 8.3048 90.00 90.00 120.00
Atoms (fractional coordinates):
Ba1 0.0000 0.0000 0.0000
Dy1 0.0000 0.0000 0.5000
S1 0.3333 0.6667 0.7648
S2 0.6667 0.3333 0.2352
O1 0.1774 0.3548 0.7077
O2 0.1774 0.8226 0.7077
O3 0.3333 0.6667 0.9440
O4 0.3548 0.1774 0.2923
O5 0.6452 0.8226 0.7077
O6 0.6667 0.3333 0.0560
O7 0.8226 0.1774 0.2923
O8 0.8226 0.6452 0.2923

Summary:
raw formation energy = -24.4 eV per formula unit
uncorrected energy = -6.574 eV/atom



# 8
Ba3DySb2O8: optimized geometry, GGA-PBE.

Lattice parameters (Å, degrees): 6.1674 6.1674 8.0752 90.00 90.00 120.00
Atoms (fractional coordinates):
Ba1 0.0000 0.0000 0.0000
Ba2 0.3333 0.6667 0.6379
Ba3 0.6667 0.3333 0.3621
Dy1 0.0000 0.0000 0.5000
Sb1 0.3333 0.6667 0.1978
Sb2 0.6667 0.3333 0.8022
O1 0.1681 0.3361 0.3316
O2 0.1681 0.8319 0.3316
O3 0.3333 0.6667 0.9419
O4 0.3361 0.1681 0.6684
O5 0.6639 0.8319 0.3316
O6 0.6667 0.3333 0.0581
O7 0.8319 0.1681 0.6684
O8 0.8319 0.6639 0.6684

Summary:
raw formation energy = -30.3 eV per formula unit
uncorrected energy = -6.324 eV/atom



| no. | total moment (μB/cell) |
| --- | --- |
| 1 | 0.6 |
| 2 | 1.3 |
| 3 | 1.9 |
| 4 | 2.0 |
| 5 | 1.8 |
| 6 | 7.8 |
| 7 | 0.4 |
| 8 | 0.6 |